1.
The following is a PBE calculation of a relaxed YSc2Rh2 crystal, from Alexandria via LeMat-Bulk.

Cell: 7.929 7.929 3.083 Å, 90.00 90.00 90.00°
Positions (direct):
Y (0.000, 0.000, 0.000)
Y (0.500, 0.500, 0.000)
Sc (0.133, 0.367, 0.000)
Sc (0.367, 0.867, 0.000)
Sc (0.633, 0.133, 0.000)
Sc (0.867, 0.633, 0.000)
Rh (0.163, 0.663, 0.500)
Rh (0.337, 0.163, 0.500)
Rh (0.663, 0.837, 0.500)
Rh (0.837, 0.337, 0.500)

Values from the calculation:
Magnetic moment in μB per formula unit: 0.0
Energy in eV per atom: -7.41
Crystal system: tetragonal
Energy above the lowest structure with this stoichiometry in meV/atom: 79
ΔE_f in eV/atom: -0.64


2.
The following is a PBE calculation of a relaxed La2AgAs crystal, from Alexandria via LeMat-Bulk.

Cell: 8.000 8.000 7.918 Å, 90.00 90.00 90.00°
Positions (direct):
La (0.239, 0.750, 0.125)
La (0.250, 0.239, 0.875)
La (0.250, 0.261, 0.375)
La (0.261, 0.750, 0.625)
La (0.739, 0.250, 0.625)
La (0.750, 0.739, 0.375)
La (0.750, 0.761, 0.875)
La (0.761, 0.250, 0.125)
Ag (0.000, 0.000, 0.500)
Ag (0.000, 0.500, 0.750)
Ag (0.500, 0.000, 0.250)
Ag (0.500, 0.500, 0.000)
As (0.000, 0.000, 0.000)
As (0.000, 0.500, 0.250)
As (0.500, 0.000, 0.750)
As (0.500, 0.500, 0.500)

Values from the calculation:
Magnetic moment in μB per formula unit: 0.0
Energy in eV per atom: -4.90
Crystal system: tetragonal
ΔE_f in eV/atom: -0.56


3.
The following is a PBE calculation of a relaxed SmEuInRh crystal, from Alexandria via LeMat-Bulk.

Cell: 7.382 7.382 7.382 Å, 90.00 90.00 90.00°
Positions (direct):
Sm (0.000, 0.000, 0.000)
Sm (0.000, 0.500, 0.500)
Sm (0.500, 0.000, 0.500)
Sm (0.500, 0.500, 0.000)
Eu (0.000, 0.000, 0.500)
Eu (0.000, 0.500, 0.000)
Eu (0.500, 0.000, 0.000)
Eu (0.500, 0.500, 0.500)
In (0.250, 0.250, 0.750)
In (0.250, 0.750, 0.250)
In (0.750, 0.250, 0.250)
In (0.750, 0.750, 0.750)
Rh (0.250, 0.250, 0.250)
Rh (0.250, 0.750, 0.750)
Rh (0.750, 0.250, 0.750)
Rh (0.750, 0.750, 0.250)

Values from the calculation:
Magnetic moment in μB per formula unit: 6.9
Energy in eV per atom: -6.67
Crystal system: cubic
ΔE_f in eV/atom: -0.40


4.
The following is a PBE calculation of a relaxed Y7In2Pt2 crystal, from Alexandria via LeMat-Bulk.

Cell: 6.926 6.926 7.074 Å, 90.00 90.00 106.97°
Positions (direct):
Y (0.000, 0.000, 0.000)
Y (0.000, 0.500, 0.253)
Y (0.000, 0.500, 0.747)
Y (0.500, 0.000, 0.253)
Y (0.500, 0.000, 0.747)
Y (0.500, 0.500, 0.246)
Y (0.500, 0.500, 0.754)
In (0.175, 0.175, 0.500)
In (0.825, 0.825, 0.500)
Pt (0.288, 0.712, 0.000)
Pt (0.712, 0.288, 0.000)

Values from the calculation:
Magnetic moment in μB per formula unit: 0.0
Energy in eV per atom: -6.27
Crystal system: orthorhombic
ΔE_f in eV/atom: -0.56


5.
The following is a PBE calculation of a relaxed BaYReN2 crystal, from Alexandria via LeMat-Bulk.

Cell: 4.475 4.475 7.151 Å, 90.00 90.00 90.00°
Positions (direct):
Ba (0.000, 0.000, 0.000)
Y (0.000, 0.000, 0.500)
Re (0.500, 0.500, 0.000)
N (0.000, 0.500, 0.500)
N (0.500, 0.000, 0.500)

Values from the calculation:
Magnetic moment in μB per formula unit: 3.9
Formation energy without anion corrections in eV per formula unit: 9.3
Energy in eV per atom: -5.65
Crystal system: tetragonal


6.
The following is a PBE calculation of a relaxed LiScGa4 crystal, from Alexandria via LeMat-Bulk.

Cell: 5.341 5.341 5.341 Å, 60.00 60.00 60.00°
Positions (direct):
Li (0.000, 0.000, 0.000)
Sc (0.750, 0.750, 0.750)
Ga (0.375, 0.375, 0.375)
Ga (0.375, 0.375, 0.875)
Ga (0.375, 0.875, 0.375)
Ga (0.875, 0.375, 0.375)

Values from the calculation:
Magnetic moment in μB per formula unit: 0.0
Energy in eV per atom: -3.70
Crystal system: cubic
ΔE_f in eV/atom: -0.31


7.
The following is a PBE calculation of a relaxed Ta2Mo7W2 crystal, from Alexandria via LeMat-Bulk.

Cell: 8.205 8.205 8.205 Å, 157.80 69.64 114.96°
Positions (direct):
Ta (0.000, 0.000, 0.000)
Ta (0.718, 0.218, 0.500)
Mo (0.088, 0.252, 0.836)
Mo (0.163, 0.497, 0.666)
Mo (0.267, 0.767, 0.500)
Mo (0.416, 0.252, 0.164)
Mo (0.576, 0.745, 0.831)
Mo (0.831, 0.497, 0.334)
Mo (0.914, 0.745, 0.169)
W (0.332, 0.999, 0.332)
W (0.667, 0.999, 0.668)

Values from the calculation:
Magnetic moment in μB per formula unit: 0.0
Energy in eV per atom: -11.19
Crystal system: orthorhombic
Energy above the lowest structure with this stoichiometry in meV/atom: 0
ΔE_f in eV/atom: 0.22


8.
The following is a PBE calculation of a relaxed Li2YOs crystal, from Alexandria via LeMat-Bulk.

Cell: 4.008 4.008 4.548 Å, 90.00 90.00 90.00°
Positions (direct):
Li (0.000, 0.500, 0.000)
Li (0.500, 0.000, 0.000)
Y (0.000, 0.000, 0.500)
Os (0.500, 0.500, 0.500)

Values from the calculation:
Magnetic moment in μB per formula unit: 0.4
Energy in eV per atom: -5.12
Crystal system: tetragonal
Energy above the lowest structure with this stoichiometry in meV/atom: 99
ΔE_f in eV/atom: 0.26


9.
The following is a PBE calculation of a relaxed YPSe crystal, from Alexandria via LeMat-Bulk.

Cell: 3.813 3.813 10.037 Å, 90.00 90.00 90.00°
Positions (direct):
Y (0.000, 0.000, 0.000)
Y (0.500, 0.500, 0.500)
P (0.000, 0.000, 0.587)
P (0.500, 0.500, 0.087)
Se (0.000, 0.000, 0.350)
Se (0.500, 0.500, 0.850)

Values from the calculation:
Magnetic moment in μB per formula unit: 0.0
Formation energy without anion corrections in eV per formula unit: -3.0
Energy in eV per atom: -6.14
Crystal system: tetragonal


10.
The following is a PBE calculation of a relaxed Ce5Pr5Ge6 crystal, from Alexandria via LeMat-Bulk.

Cell: 6.328 8.910 8.910 Å, 119.58 90.00 90.00°
Positions (direct):
Ce (0.000, 0.000, 0.000)
Ce (0.217, 0.070, 0.403)
Ce (0.217, 0.403, 0.070)
Ce (0.783, 0.070, 0.403)
Ce (0.783, 0.403, 0.070)
Pr (0.000, 0.486, 0.738)
Pr (0.000, 0.738, 0.486)
Pr (0.500, 0.474, 0.474)
Pr (0.500, 0.738, 0.996)
Pr (0.500, 0.996, 0.738)
Ge (0.000, 0.120, 0.740)
Ge (0.000, 0.354, 0.354)
Ge (0.000, 0.740, 0.120)
Ge (0.500, 0.123, 0.123)
Ge (0.500, 0.350, 0.738)
Ge (0.500, 0.738, 0.350)

Values from the calculation:
Magnetic moment in μB per formula unit: 3.1
Energy in eV per atom: -5.74
Crystal system: orthorhombic
ΔE_f in eV/atom: -0.66


11.
The following is a PBE calculation of a relaxed K2Tl4Pd3 crystal, from Alexandria via LeMat-Bulk.

Cell: 8.978 7.913 6.012 Å, 78.99 59.91 41.10°
Positions (direct):
K (0.117, 0.117, 0.883)
K (0.883, 0.883, 0.117)
Tl (0.179, 0.506, 0.494)
Tl (0.494, 0.821, 0.179)
Tl (0.506, 0.179, 0.821)
Tl (0.821, 0.494, 0.506)
Pd (0.000, 0.000, 0.500)
Pd (0.500, 0.500, 0.000)
Pd (0.500, 0.500, 0.500)

Values from the calculation:
Magnetic moment in μB per formula unit: 0.0
Energy in eV per atom: -3.17
Crystal system: orthorhombic
ΔE_f in eV/atom: -0.15


12.
The following is a PBE calculation of a relaxed La3GeRh crystal, from Alexandria via LeMat-Bulk.

Cell: 5.464 5.464 5.464 Å, 90.00 90.00 90.00°
Positions (direct):
La (0.000, 0.000, 0.500)
La (0.000, 0.500, 0.000)
La (0.500, 0.000, 0.000)
Ge (0.500, 0.500, 0.500)
Rh (0.000, 0.000, 0.000)

Values from the calculation:
Magnetic moment in μB per formula unit: 0.0
Energy in eV per atom: -5.74
Crystal system: cubic
Energy above the lowest structure with this stoichiometry in meV/atom: 279
ΔE_f in eV/atom: -0.39


13.
The following is a PBE calculation of a relaxed Sm5AgIr2 crystal, from Alexandria via LeMat-Bulk.

Cell: 8.812 8.812 8.812 Å, 126.66 126.66 78.80°
Positions (direct):
Sm (0.000, 0.000, 0.000)
Sm (0.027, 0.527, 0.822)
Sm (0.205, 0.027, 0.500)
Sm (0.295, 0.795, 0.822)
Sm (0.473, 0.295, 0.500)
Sm (0.500, 0.500, 0.000)
Sm (0.527, 0.705, 0.500)
Sm (0.705, 0.205, 0.178)
Sm (0.795, 0.973, 0.500)
Sm (0.973, 0.473, 0.178)
Ag (0.250, 0.250, 0.000)
Ag (0.750, 0.750, 0.000)
Ir (0.139, 0.361, 0.500)
Ir (0.361, 0.861, 0.223)
Ir (0.639, 0.139, 0.777)
Ir (0.861, 0.639, 0.500)

Values from the calculation:
Magnetic moment in μB per formula unit: 0.0
Energy in eV per atom: -6.06
Crystal system: tetragonal
ΔE_f in eV/atom: -0.54


14.
The following is a PBE calculation of a relaxed Cu2TeRuPb crystal, from Alexandria via LeMat-Bulk.

Cell: 4.816 4.816 5.196 Å, 90.00 90.00 90.00°
Positions (direct):
Cu (0.000, 0.500, 0.000)
Cu (0.500, 0.000, 0.000)
Te (0.000, 0.000, 0.500)
Ru (0.500, 0.500, 0.000)
Pb (0.500, 0.500, 0.500)

Values from the calculation:
Magnetic moment in μB per formula unit: 1.5
Formation energy without anion corrections in eV per formula unit: 4.2
Energy in eV per atom: -4.01
Crystal system: tetragonal


15.
The following is a PBE calculation of a relaxed Nd8Tm2Sc3 crystal, from Alexandria via LeMat-Bulk.

Cell: 8.783 8.783 5.982 Å, 107.01 107.01 81.05°
Positions (direct):
Nd (0.087, 0.087, 0.251)
Nd (0.112, 0.578, 0.855)
Nd (0.363, 0.363, 0.382)
Nd (0.422, 0.888, 0.145)
Nd (0.578, 0.112, 0.855)
Nd (0.637, 0.637, 0.618)
Nd (0.888, 0.422, 0.145)
Nd (0.913, 0.913, 0.749)
Tm (0.181, 0.181, 0.818)
Tm (0.819, 0.819, 0.182)
Sc (0.228, 0.772, 0.500)
Sc (0.500, 0.500, 0.000)
Sc (0.772, 0.228, 0.500)

Values from the calculation:
Magnetic moment in μB per formula unit: 0.0
Energy in eV per atom: -4.90
Crystal system: monoclinic
Energy above the lowest structure with this stoichiometry in meV/atom: 0
ΔE_f in eV/atom: 0.18


16.
The following is a PBE calculation of a relaxed HfTh2Cd6 crystal, from Alexandria via LeMat-Bulk.

Cell: 8.761 8.761 3.289 Å, 90.00 90.00 120.00°
Positions (direct):
Hf (0.000, 0.000, 0.000)
Th (0.333, 0.667, 0.000)
Th (0.667, 0.333, 0.000)
Cd (0.000, 0.323, 0.500)
Cd (0.000, 0.677, 0.500)
Cd (0.323, 0.000, 0.500)
Cd (0.323, 0.323, 0.500)
Cd (0.677, 0.000, 0.500)
Cd (0.677, 0.677, 0.500)

Values from the calculation:
Magnetic moment in μB per formula unit: 0.0
Energy in eV per atom: -3.44
Crystal system: hexagonal
ΔE_f in eV/atom: -0.08


17.
The following is a PBE calculation of a relaxed Mg2MnCo crystal, from Alexandria via LeMat-Bulk.

Cell: 3.947 3.947 7.989 Å, 90.00 90.00 90.00°
Positions (direct):
Mg (0.000, 0.500, 0.250)
Mg (0.000, 0.500, 0.750)
Mg (0.500, 0.000, 0.250)
Mg (0.500, 0.000, 0.750)
Mn (0.000, 0.000, 0.000)
Mn (0.500, 0.500, 0.500)
Co (0.000, 0.000, 0.500)
Co (0.500, 0.500, 0.000)

Values from the calculation:
Magnetic moment in μB per formula unit: 4.7
Energy in eV per atom: -4.67
Crystal system: tetragonal
Energy above the lowest structure with this stoichiometry in meV/atom: 114
ΔE_f in eV/atom: 0.20


18.
The following is a PBE calculation of a relaxed Li2TcOs crystal, from Alexandria via LeMat-Bulk.

Cell: 3.546 3.546 8.958 Å, 90.00 90.00 90.00°
Positions (direct):
Li (0.000, 0.500, 0.250)
Li (0.000, 0.500, 0.750)
Li (0.500, 0.000, 0.250)
Li (0.500, 0.000, 0.750)
Tc (0.000, 0.000, 0.000)
Tc (0.500, 0.500, 0.500)
Os (0.000, 0.000, 0.500)
Os (0.500, 0.500, 0.000)

Values from the calculation:
Magnetic moment in μB per formula unit: 0.0
Energy in eV per atom: -6.05
Crystal system: tetragonal
Energy above the lowest structure with this stoichiometry in meV/atom: 197
ΔE_f in eV/atom: 0.31


19.
The following is a PBE calculation of a relaxed Ce2AlSbPt6 crystal, from Alexandria via LeMat-Bulk.

Cell: 5.625 5.625 8.858 Å, 108.50 108.50 60.06°
Positions (direct):
Ce (0.202, 0.202, 0.107)
Ce (0.798, 0.798, 0.893)
Al (0.500, 0.500, 0.000)
Sb (0.000, 0.000, 0.500)
Pt (0.242, 0.744, 0.233)
Pt (0.256, 0.256, 0.767)
Pt (0.256, 0.758, 0.767)
Pt (0.744, 0.242, 0.233)
Pt (0.744, 0.744, 0.233)
Pt (0.758, 0.256, 0.767)

Values from the calculation:
Magnetic moment in μB per formula unit: 1.1
Formation energy without anion corrections in eV per formula unit: -8.1
Energy in eV per atom: -6.41
Crystal system: monoclinic